DFT (PBE-GGA) results for ThAg2Au4 after structural relaxation.

## Properties
E: -28.84 eV per cell
symmetry: C2/m (12)
magnetization: 0.00 μB per cell

Geometry as POSCAR:
```
ThAg2Au4
1.0
5.787 0.219 0.311
2.435 4.846 -0.499
-1.542 -1.775 5.301
Th Ag Au
1 2 4
direct
0.000 0.000 0.000 Th
0.500 0.750 0.500 Ag
0.500 0.250 0.500 Ag
0.607 0.696 0.000 Au
0.393 0.304 0.000 Au
0.000 0.304 0.607 Au
0.000 0.696 0.393 Au
```